# 1
# Eu2GaCu, optimized geometry, DFT GGA-PBE
# * DOS(E_F): 2.710 states/eV per atom
# * calculated total energy: -7.18 eV/atom
# * space group: P4/mmm
data_Eu2GaCu
_symmetry_space_group_name_H-M 'P 1'
_symmetry_Int_Tables_number 1
_cell_length_a 5.2525
_cell_length_b 5.2525
_cell_length_c 3.6670
_cell_angle_alpha 90.00
_cell_angle_beta 90.00
_cell_angle_gamma 90.00
loop_
_symmetry_equiv_pos_as_xyz
'x,y,z'
loop_
_atom_site_label
_atom_site_type_symbol
_atom_site_fract_x
_atom_site_fract_y
_atom_site_fract_z
Eu1 Eu 0.0000 0.5000 0.0000
Eu2 Eu 0.5000 0.0000 0.0000
Ga1 Ga 0.0000 0.0000 0.5000
Cu1 Cu 0.5000 0.5000 0.5000

***

# 2
# EuGa2Cu, optimized geometry, DFT GGA-PBE
# * DOS(E_F): 0.718 states/eV per atom
# * calculated total energy: -5.35 eV/atom
# * space group: P4/mmm
data_EuGa2Cu
_symmetry_space_group_name_H-M 'P 1'
_symmetry_Int_Tables_number 1
_cell_length_a 3.2948
_cell_length_b 3.2948
_cell_length_c 7.1441
_cell_angle_alpha 90.00
_cell_angle_beta 90.00
_cell_angle_gamma 90.00
loop_
_symmetry_equiv_pos_as_xyz
'x,y,z'
loop_
_atom_site_label
_atom_site_type_symbol
_atom_site_fract_x
_atom_site_fract_y
_atom_site_fract_z
Eu1 Eu 0.0000 0.0000 0.0000
Ga1 Ga 0.5000 0.5000 0.3110
Ga2 Ga 0.5000 0.5000 0.6890
Cu1 Cu 0.0000 0.0000 0.5000

***

# 3
# EuGa2Cu, optimized geometry, DFT GGA-PBE
# * DOS(E_F): 2.359 states/eV per atom
# * calculated total energy: -5.48 eV/atom
# * space group: R-3m
data_EuGa2Cu
_symmetry_space_group_name_H-M 'P 1'
_symmetry_Int_Tables_number 1
_cell_length_a 5.9908
_cell_length_b 5.9908
_cell_length_c 5.9908
_cell_angle_alpha 41.14
_cell_angle_beta 41.14
_cell_angle_gamma 41.14
loop_
_symmetry_equiv_pos_as_xyz
'x,y,z'
loop_
_atom_site_label
_atom_site_type_symbol
_atom_site_fract_x
_atom_site_fract_y
_atom_site_fract_z
Eu1 Eu 0.0000 0.0000 0.0000
Ga1 Ga 0.2095 0.2095 0.2095
Ga2 Ga 0.7905 0.7905 0.7905
Cu1 Cu 0.5000 0.5000 0.5000

***

# 4
# Eu2GaCu, optimized geometry, DFT GGA-PBE
# * DOS(E_F): 4.125 states/eV per atom
# * calculated total energy: -6.69 eV/atom
# * space group: R-3m
data_Eu2GaCu
_symmetry_space_group_name_H-M 'P 1'
_symmetry_Int_Tables_number 1
_cell_length_a 10.3726
_cell_length_b 10.3726
_cell_length_c 10.3726
_cell_angle_alpha 21.56
_cell_angle_beta 21.56
_cell_angle_gamma 21.56
loop_
_symmetry_equiv_pos_as_xyz
'x,y,z'
loop_
_atom_site_label
_atom_site_type_symbol
_atom_site_fract_x
_atom_site_fract_y
_atom_site_fract_z
Eu1 Eu 0.1043 0.1043 0.1043
Eu2 Eu 0.8957 0.8957 0.8957
Ga1 Ga 0.0000 0.0000 0.0000
Cu1 Cu 0.5000 0.5000 0.5000

***

# 5
# EuGa3Cu, optimized geometry, DFT GGA-PBE
# * DOS(E_F): 2.083 states/eV per atom
# * calculated total energy: -5.11 eV/atom
# * space group: I-4m2
data_EuGa3Cu
_symmetry_space_group_name_H-M 'P 1'
_symmetry_Int_Tables_number 1
_cell_length_a 6.1596
_cell_length_b 6.1596
_cell_length_c 6.1596
_cell_angle_alpha 139.75
_cell_angle_beta 139.75
_cell_angle_gamma 58.24
loop_
_symmetry_equiv_pos_as_xyz
'x,y,z'
loop_
_atom_site_label
_atom_site_type_symbol
_atom_site_fract_x
_atom_site_fract_y
_atom_site_fract_z
Eu1 Eu 0.0000 0.0000 0.0000
Ga1 Ga 0.3823 0.3823 0.0000
Ga2 Ga 0.6177 0.6177 0.0000
Ga3 Ga 0.7500 0.2500 0.5000
Cu1 Cu 0.2500 0.7500 0.5000

***

# 6
# EuHoGaCu, optimized geometry, DFT GGA-PBE
# * DOS(E_F): 1.561 states/eV per atom
# * calculated total energy: -5.80 eV/atom
# * space group: F-43m
data_EuHoGaCu
_symmetry_space_group_name_H-M 'P 1'
_symmetry_Int_Tables_number 1
_cell_length_a 5.0843
_cell_length_b 5.0843
_cell_length_c 5.0843
_cell_angle_alpha 60.00
_cell_angle_beta 60.00
_cell_angle_gamma 60.00
loop_
_symmetry_equiv_pos_as_xyz
'x,y,z'
loop_
_atom_site_label
_atom_site_type_symbol
_atom_site_fract_x
_atom_site_fract_y
_atom_site_fract_z
Eu1 Eu 0.0000 0.0000 0.0000
Ho1 Ho 0.5000 0.5000 0.5000
Ga1 Ga 0.2500 0.2500 0.2500
Cu1 Cu 0.7500 0.7500 0.7500

***

# 7
# EuInGaCu, optimized geometry, DFT GGA-PBE
# * DOS(E_F): 0.453 states/eV per atom
# * calculated total energy: -5.29 eV/atom
# * space group: F-43m
data_EuInGaCu
_symmetry_space_group_name_H-M 'P 1'
_symmetry_Int_Tables_number 1
_cell_length_a 4.9286
_cell_length_b 4.9286
_cell_length_c 4.9286
_cell_angle_alpha 60.00
_cell_angle_beta 60.00
_cell_angle_gamma 60.00
loop_
_symmetry_equiv_pos_as_xyz
'x,y,z'
loop_
_atom_site_label
_atom_site_type_symbol
_atom_site_fract_x
_atom_site_fract_y
_atom_site_fract_z
Eu1 Eu 0.0000 0.0000 0.0000
In1 In 0.5000 0.5000 0.5000
Ga1 Ga 0.2500 0.2500 0.2500
Cu1 Cu 0.7500 0.7500 0.7500

***

# 8
# NdEuGaCu, optimized geometry, DFT GGA-PBE
# * DOS(E_F): 1.991 states/eV per atom
# * calculated total energy: -5.84 eV/atom
# * space group: F-43m
data_NdEuGaCu
_symmetry_space_group_name_H-M 'P 1'
_symmetry_Int_Tables_number 1
_cell_length_a 5.1955
_cell_length_b 5.1955
_cell_length_c 5.1955
_cell_angle_alpha 60.00
_cell_angle_beta 60.00
_cell_angle_gamma 60.00
loop_
_symmetry_equiv_pos_as_xyz
'x,y,z'
loop_
_atom_site_label
_atom_site_type_symbol
_atom_site_fract_x
_atom_site_fract_y
_atom_site_fract_z
Nd1 Nd 0.0000 0.0000 0.0000
Eu1 Eu 0.5000 0.5000 0.5000
Ga1 Ga 0.2500 0.2500 0.2500
Cu1 Cu 0.7500 0.7500 0.7500

***

| no. | volume (A^3/atom) |
| --- | --- |
| 1 | 25.29 |
| 2 | 19.39 |
| 3 | 21.01 |
| 4 | 33.02 |
| 5 | 19.34 |
| 6 | 23.23 |
| 7 | 21.16 |
| 8 | 24.79 |